[1]
Computed, not measured: a geometry-optimized FeMo2Pb structure at the PBE-GGA level of DFT.

Results
Crystal system: tetragonal
Magnetic moment, μB/f.u.: 3.1
E_form, eV per atom: 0.45

Cell lengths 3.3575, 3.3575, 6.1366 Å; angles 90.00, 90.00, 90.00 degrees
Space group P4mm (No. 99)
One atom of each set of equivalent atoms:
Fe: 0.0000 0.0000 0.0000 (multiplicity 1)
Mo: 0.0000 0.0000 0.4191 (multiplicity 1)
Mo: 0.5000 0.5000 0.2092 (multiplicity 1)
Pb: 0.5000 0.5000 0.7262 (multiplicity 1)

=====

[2]
Computed, not measured: a geometry-optimized Fe2MoPb structure at the PBE-GGA level of DFT.

Results
Crystal system: orthorhombic
Magnetic moment, μB/f.u.: 5.0
E_form, eV per atom: 0.53

Cell lengths 3.1903, 4.4450, 8.8530 Å; angles 90.00, 90.00, 90.00 degrees
Space group Imm2 (No. 44)
One atom of each set of equivalent atoms:
Fe: 0.0000 0.0000 0.0000 (multiplicity 2)
Fe: 0.0000 0.5000 0.2872 (multiplicity 2)
Mo: 0.0000 0.5000 0.7539 (multiplicity 2)
Pb: 0.0000 0.0000 0.5293 (multiplicity 2)

=====

[3]
Computed, not measured: a geometry-optimized FeMoPb2 structure at the PBE-GGA level of DFT.

Results
Crystal system: cubic
E above lowest polymorph, eV per atom: 0.639
Magnetic moment, μB/f.u.: 1.5
E_form, eV per atom: 1.01

Cell lengths 6.9678, 6.9678, 6.9678 Å; angles 90.00, 90.00, 90.00 degrees
Space group F-43m (No. 216)
One atom of each set of equivalent atoms:
Fe: 0.0000 0.0000 0.0000 (multiplicity 4)
Mo: 0.2500 0.2500 0.2500 (multiplicity 4)
Pb: 0.0000 0.0000 0.5000 (multiplicity 4)
Pb: 0.2500 0.2500 0.7500 (multiplicity 4)

=====

[4]
Computed, not measured: a geometry-optimized Fe2MoPb structure at the PBE-GGA level of DFT.

Results
Crystal system: tetragonal
Magnetic moment, μB/f.u.: 4.7
E_form, eV per atom: 0.59

Cell lengths 3.9467, 3.9467, 8.0598 Å; angles 90.00, 90.00, 90.00 degrees
Space group I-4m2 (No. 119)
One atom of each set of equivalent atoms:
Fe: 0.0000 0.0000 0.0000 (multiplicity 2)
Fe: 0.0000 0.5000 0.2500 (multiplicity 2)
Mo: 0.0000 0.5000 0.7500 (multiplicity 2)
Pb: 0.0000 0.0000 0.5000 (multiplicity 2)

=====

[5]
Computed, not measured: a geometry-optimized FeMoPb2 structure at the PBE-GGA level of DFT.

Results
Crystal system: orthorhombic
E above lowest polymorph, eV per atom: 0.483
Magnetic moment, μB/f.u.: 3.5
E_form, eV per atom: 0.85

Cell lengths 3.7084, 5.0158, 8.6920 Å; angles 90.00, 90.00, 90.00 degrees
Space group Immm (No. 71)
One atom of each set of equivalent atoms:
Fe: 0.0000 0.0000 0.0000 (multiplicity 2)
Mo: 0.0000 0.0000 0.5000 (multiplicity 2)
Pb: 0.0000 0.5000 0.2610 (multiplicity 4)

=====

[6]
Computed, not measured: a geometry-optimized FeMoPb2 structure at the PBE-GGA level of DFT.

Results
Crystal system: orthorhombic
E above lowest polymorph, eV per atom: 0.486
Magnetic moment, μB/f.u.: 2.6
E_form, eV per atom: 0.85

Cell lengths 3.5873, 5.1688, 8.7859 Å; angles 90.00, 90.00, 90.00 degrees
Space group Cmmm (No. 65)
One atom of each set of equivalent atoms:
Fe: 0.0000 0.0000 0.0000 (multiplicity 2)
Mo: 0.0000 0.0000 0.5000 (multiplicity 2)
Pb: 0.0000 0.5000 0.2428 (multiplicity 4)

=====

[7]
Computed, not measured: a geometry-optimized FeMoPb2 structure at the PBE-GGA level of DFT.

Results
Crystal system: monoclinic
E above lowest polymorph, eV per atom: 0.482
Magnetic moment, μB/f.u.: 2.3
E_form, eV per atom: 0.85

Cell lengths 9.1498, 3.1667, 5.6889 Å; angles 90.00, 102.71, 90.00 degrees
Space group C2/m (No. 12)
One atom of each set of equivalent atoms:
Fe: 0.0000 0.0000 0.0000 (multiplicity 2)
Mo: 0.0000 0.5000 0.5000 (multiplicity 2)
Pb: 0.2453 0.5000 0.2464 (multiplicity 4)

=====

[8]
Computed, not measured: a geometry-optimized FeMo2Pb structure at the PBE-GGA level of DFT.

Results
Crystal system: cubic
Magnetic moment, μB/f.u.: 2.5
E_form, eV per atom: 0.64

Cell lengths 6.4454, 6.4454, 6.4454 Å; angles 90.00, 90.00, 90.00 degrees
Space group F-43m (No. 216)
One atom of each set of equivalent atoms:
Fe: 0.0000 0.0000 0.0000 (multiplicity 4)
Mo: 0.0000 0.0000 0.5000 (multiplicity 4)
Mo: 0.2500 0.2500 0.2500 (multiplicity 4)
Pb: 0.2500 0.2500 0.7500 (multiplicity 4)